Record 1
The following is a PBE-GGA calculation of Sc2TlOs after structural relaxation, from the Alexandria database.

a b c (Å): 7.812 7.812 6.232
angles (deg): 51.19 51.19 90.00
Positions (direct):
Sc1 0.565 0.125 0.250
Sc2 0.875 0.815 0.750
Sc3 0.375 0.435 0.750
Sc4 0.185 0.625 0.250
Os1 0.250 0.750 0.500
Os2 0.500 0.500 0.000
Tl1 0.000 0.000 0.000
Tl2 0.750 0.250 0.500

Output
Fermi-level density of states ... 6.81 states/eV/cell
Total DFT energy (no corrections) ... -6.4155 eV per atom
Calculated formation energy ... 0.6 eV/f.u.

=====

Record 2
The following is a PBE-GGA calculation of Sc5Tl2Os after structural relaxation, from the Alexandria database.

a b c (Å): 4.696 6.278 11.880
angles (deg): 90.00 90.00 90.00
Positions (direct):
Sc1 0.500 0.833 0.409
Sc2 0.500 0.667 0.909
Sc3 0.000 0.500 0.500
Sc4 0.000 0.388 0.784
Sc5 0.500 0.333 0.091
Sc6 0.000 0.612 0.216
Sc7 0.500 0.167 0.591
Sc8 0.000 0.888 0.716
Sc9 0.000 0.000 0.000
Sc10 0.000 0.112 0.284
Tl1 0.500 0.125 0.846
Tl2 0.500 0.625 0.654
Tl3 0.500 0.875 0.154
Tl4 0.500 0.375 0.346
Os1 0.000 0.000 0.500
Os2 0.000 0.500 0.000

Output
Fermi-level density of states ... 9.95 states/eV/cell
Total DFT energy (no corrections) ... -6.2704 eV per atom
Calculated formation energy ... -2.5 eV/f.u.

=====

Record 3
The following is a PBE-GGA calculation of ScTlOs after structural relaxation, from the Alexandria database.

a b c (Å): 7.154 3.108 11.887
angles (deg): 90.00 112.12 90.00
Positions (direct):
Tl1 0.930 0.000 0.621
Tl2 0.810 0.000 0.337
Tl3 0.810 0.500 0.837
Tl4 0.930 0.500 0.121
Os1 0.216 0.000 0.326
Os2 0.216 0.500 0.826
Os3 0.183 0.000 0.001
Os4 0.183 0.500 0.501
Sc1 0.404 0.500 0.192
Sc2 0.404 0.000 0.692
Sc3 0.524 0.500 0.470
Sc4 0.524 0.000 0.970

Output
Fermi-level density of states ... 7.53 states/eV/cell
Total DFT energy (no corrections) ... -6.5670 eV per atom
Calculated formation energy ... 0.2 eV/f.u.

=====

Record 4
The following is a PBE-GGA calculation of Sc4TlOs after structural relaxation, from the Alexandria database.

a b c (Å): 5.798 7.401 7.401
angles (deg): 112.23 99.58 99.58
Positions (direct):
Sc1 0.049 0.940 0.277
Sc2 0.951 0.060 0.723
Sc3 0.614 0.198 0.350
Sc4 0.886 0.650 0.802
Sc5 0.114 0.350 0.198
Sc6 0.549 0.277 0.940
Sc7 0.451 0.723 0.060
Sc8 0.386 0.802 0.650
Os1 0.750 0.001 0.999
Os2 0.250 0.999 0.001
Tl1 0.250 0.373 0.627
Tl2 0.750 0.627 0.373

Output
Fermi-level density of states ... 13.23 states/eV/cell
Total DFT energy (no corrections) ... -6.8116 eV per atom
Calculated formation energy ... -1.9 eV/f.u.

=====

Record 5
The following is a PBE-GGA calculation of ScTl4Os after structural relaxation, from the Alexandria database.

a b c (Å): 5.992 5.992 5.992
angles (deg): 60.00 60.00 60.00
Last column: magnetic moment on the atom in μB.
Positions (direct):
Tl1 0.375 0.874 0.375  0.01
Tl2 0.874 0.375 0.375  0.01
Tl3 0.375 0.375 0.375  0.01
Tl4 0.375 0.375 0.874  0.01
Sc1 0.000 0.000 0.000  -0.19
Os1 0.750 0.750 0.750  1.44

Output
Fermi-level density of states ... 4.91 states/eV/cell
Total DFT energy (no corrections) ... -3.5506 eV per atom
Calculated formation energy ... 5.7 eV/f.u.

=====

Record 6
The following is a PBE-GGA calculation of Sc2TlOs after structural relaxation, from the Alexandria database.

a b c (Å): 4.752 4.752 4.752
angles (deg): 60.00 60.00 60.00
Positions (direct):
Tl1 0.750 0.750 0.750
Os1 0.500 0.500 0.500
Sc1 0.000 0.000 0.000
Sc2 0.250 0.250 0.250

Output
Fermi-level density of states ... 4.32 states/eV/cell
Total DFT energy (no corrections) ... -6.5863 eV per atom
Calculated formation energy ... -0.1 eV/f.u.

=====

Record 7
The following is a PBE-GGA calculation of Sc5TlOs4 after structural relaxation, from the Alexandria database.

a b c (Å): 3.253 3.253 17.048
angles (deg): 90.00 90.00 90.00
Positions (direct):
Os1 0.000 0.000 0.784
Os2 0.000 0.000 0.594
Os3 0.000 0.000 0.406
Os4 0.000 0.000 0.216
Sc1 0.500 0.500 0.131
Sc2 0.500 0.500 0.686
Sc3 0.500 0.500 0.314
Sc4 0.500 0.500 0.869
Sc5 0.500 0.500 0.500
Tl1 0.000 0.000 0.000

Output
Fermi-level density of states ... 8.43 states/eV/cell
Total DFT energy (no corrections) ... -8.2674 eV per atom
Calculated formation energy ... -3.7 eV/f.u.

=====

Record 8
The following is a PBE-GGA calculation of ScTlVOs2 after structural relaxation, from the Alexandria database.

a b c (Å): 4.643 5.106 4.643
angles (deg): 90.00 90.00 90.00
Last column: magnetic moment on the atom in μB.
Positions (direct):
Tl1 0.000 0.500 0.000  0.00
Os1 0.000 0.000 0.500  0.24
Os2 0.500 0.000 0.000  0.33
Sc1 0.000 0.000 0.000  0.00
V1 0.500 0.500 0.500  0.05

Output
Fermi-level density of states ... 7.97 states/eV/cell
Total DFT energy (no corrections) ... -5.9713 eV per atom
Calculated formation energy ... 10.4 eV/f.u.

=====

Record 9
The following is a PBE-GGA calculation of YScTlOs after structural relaxation, from the Alexandria database.

a b c (Å): 3.315 3.315 8.094
angles (deg): 90.00 90.00 90.00
Positions (direct):
Tl1 0.000 0.000 0.088
Sc1 0.500 0.500 0.372
Y1 0.500 0.500 0.772
Os1 0.000 0.000 0.552

Output
Fermi-level density of states ... 1.96 states/eV/cell
Total DFT energy (no corrections) ... -6.9538 eV per atom
Calculated formation energy ... -1.4 eV/f.u.

=====

Record 10
The following is a PBE-GGA calculation of YScTlOs after structural relaxation, from the Alexandria database.

a b c (Å): 4.940 4.940 4.940
angles (deg): 60.00 60.00 60.00
Positions (direct):
Y1 0.250 0.250 0.250
Os1 0.000 0.000 0.000
Sc1 0.750 0.750 0.750
Tl1 0.500 0.500 0.500

Output
Fermi-level density of states ... 3.80 states/eV/cell
Total DFT energy (no corrections) ... -6.7571 eV per atom
Calculated formation energy ... -0.6 eV/f.u.

=====

Record 11
The following is a PBE-GGA calculation of ZrScTlOs after structural relaxation, from the Alexandria database.

a b c (Å): 3.246 3.246 7.702
angles (deg): 90.00 90.00 90.00
Positions (direct):
Zr1 0.500 0.500 0.780
Tl1 0.000 0.000 0.075
Os1 0.000 0.000 0.568
Sc1 0.500 0.500 0.361

Output
Fermi-level density of states ... 2.46 states/eV/cell
Total DFT energy (no corrections) ... -7.4711 eV per atom
Calculated formation energy ... -1.4 eV/f.u.

=====

Record 12
The following is a PBE-GGA calculation of TmSc2Os after structural relaxation, from the Alexandria database.

a b c (Å): 3.250 3.250 8.443
angles (deg): 90.00 90.00 90.00
Positions (direct):
Os1 0.500 0.500 0.000
Sc1 0.000 0.000 0.182
Sc2 0.000 0.000 0.818
Tm1 0.500 0.500 0.500

Output
Fermi-level density of states ... 3.70 states/eV/cell
Total DFT energy (no corrections) ... -7.3257 eV per atom
Calculated formation energy ... -0.9 eV/f.u.